DFT (PBE with a Hubbard U) results for MnH2SO5 after structural relaxation.

Cell: 5.3256 5.3256 7.9329 Å, 105.81 105.81 99.32°
Closest atoms and distances in Å follow each position.
Fractional positions:
Mn 0.5000 0.0000 0.5000  6 O 2.14-2.31
Mn 0.0000 0.5000 0.0000  6 O 2.14-2.31
H 0.1327 0.0553 0.2128  1 O 1.00
H 0.9447 0.8673 0.2872  1 O 1.00
H 0.8673 0.9447 0.7872  1 O 1.00
H 0.0553 0.1327 0.7128  1 O 1.00
S 0.5839 0.4161 0.2500  4 O 1.48-1.51
S 0.4161 0.5839 0.7500  4 O 1.48-1.51
O 0.1100 0.8900 0.2500  2 H 1.00
O 0.8900 0.1100 0.7500  2 H 1.00
O 0.7071 0.3317 0.1049  1 S 1.48
O 0.6683 0.2929 0.3951  1 S 1.48
O 0.2929 0.6683 0.8951  1 S 1.48
O 0.3317 0.7071 0.6049  1 S 1.48
O 0.6702 0.7190 0.3343  1 S 1.51
O 0.2810 0.3298 0.1657  1 S 1.51
O 0.3298 0.2810 0.6657  1 S 1.51
O 0.7190 0.6702 0.8343  1 S 1.51

Output
space group: C2/c
total energy: -55.935 eV/f.u.